Entry from the Open Quantum Materials Database: an optimized crystal structure of TcNiBW (PBE).

a = 5.7391 Å, b = 5.7391 Å, c = 5.7391 Å
α = 90.00°, β = 90.00°, γ = 90.00°
Closest atoms and distances in Å follow each position.
Space group F-43m (No. 216)
Symmetry-distinct sites (fractional):
Tc1 0.0000 0.0000 0.0000  4 B 2.49, 4 Ni 2.49
Ni1 0.2500 0.2500 0.2500  4 W 2.49, 4 Tc 2.49
B1 0.2500 0.2500 0.7500  4 W 2.49, 4 Tc 2.49
W1 0.0000 0.0000 0.5000  4 Ni 2.49, 4 B 2.49

Calculated values
calculated total energy: -8.628 eV/atom
distance to the lowest polymorph of the same formula: 0.000 eV/atom